# 1
PmThC4 | PBE | optimized geometry

Lattice parameters (Å, degrees): 3.798 3.798 6.408 90.00 90.00 90.00
Positions (direct):
Pm 0.000 0.000 0.000
Th 0.500 0.500 0.500
C 0.000 0.000 0.397
C 0.000 0.000 0.603
C 0.500 0.500 0.102
C 0.500 0.500 0.898

Summary:
The calculated total energy is -8.347 eV per atom. As for the space-group type: P4/mmm, No. 123. For the spin magnetization, the calculation gives 0.00 μB/atom. Its volume is 15.41 A^3/atom. For the density of states at the Fermi level, the calculation gives 2.979 states/eV/cell.

---

# 2
Ho4Al3Zn | PBE | optimized geometry

Lattice parameters (Å, degrees): 3.665 4.466 11.610 90.00 90.00 90.00
Positions (direct):
Ho 0.000 0.000 0.000
Ho 0.000 0.500 0.307
Ho 0.500 0.000 0.495
Ho 0.500 0.500 0.810
Al 0.000 0.000 0.721
Al 0.000 0.500 0.586
Al 0.500 0.500 0.088
Zn 0.500 0.000 0.222

Summary:
As for the space-group type: Pmm2, No. 25. For the spin magnetization, the calculation gives 0.01 μB/atom. The value obtained for the excess energy over the best structure of this formula in the dataset is 0.21 eV per formula unit. Its volume is 23.76 A^3/atom. For the density of states at the Fermi level, the calculation gives 7.039 states/eV/cell.

---

# 3
ScZn | PBE | optimized geometry

Lattice parameters (Å, degrees): 10.383 10.383 3.158 90.00 90.00 90.00
Positions (direct):
Sc 0.113 0.635 0.000
Sc 0.162 0.361 0.500
Sc 0.361 0.838 0.500
Sc 0.365 0.113 0.000
Sc 0.635 0.887 0.000
Sc 0.639 0.162 0.500
Sc 0.838 0.639 0.500
Sc 0.887 0.365 0.000
Zn 0.077 0.153 0.000
Zn 0.153 0.923 0.000
Zn 0.339 0.565 0.500
Zn 0.435 0.339 0.500
Zn 0.565 0.661 0.500
Zn 0.661 0.435 0.500
Zn 0.847 0.077 0.000
Zn 0.923 0.847 0.000

Summary:
The calculated total energy is -3.797 eV per atom. As for the space-group type: P4/m, No. 83. For the spin magnetization, the calculation gives 0.23 μB/atom. Its volume is 21.28 A^3/atom. For the density of states at the Fermi level, the calculation gives 15.787 states/eV/cell.

---

# 4
Cd2AgBr | PBE | optimized geometry

Lattice parameters (Å, degrees): 6.506 6.506 6.506 104.86 104.86 119.15
Positions (direct):
Cd 0.108 0.625 0.983
Cd 0.375 0.358 0.483
Cd 0.642 0.125 0.017
Cd 0.875 0.892 0.517
Ag 0.000 0.000 0.000
Ag 0.750 0.250 0.500
Br 0.250 0.750 0.500
Br 0.500 0.500 0.000

Summary:
As for the space-group type: I-42d, No. 122. For the spin magnetization, the calculation gives 0.00 μB/atom. As for the energy relative to the elements, uncorrected: -17 kJ/mol of formula units. The value obtained for the excess energy over the best structure of this formula in the dataset is 0.45 eV per formula unit. Its volume is 25.93 A^3/atom. For the density of states at the Fermi level, the calculation gives 0.432 states/eV/cell.

---

# 5
TlCu2F2 | PBE | optimized geometry

Lattice parameters (Å, degrees): 7.066 7.066 2.904 90.00 90.00 90.00
Positions (direct):
Tl 0.000 0.000 0.000
Tl 0.500 0.500 0.000
Cu 0.132 0.368 0.500
Cu 0.368 0.868 0.500
Cu 0.632 0.132 0.500
Cu 0.868 0.632 0.500
F 0.131 0.631 0.000
F 0.369 0.131 0.000
F 0.631 0.869 0.000
F 0.869 0.369 0.000

Summary:
As for the space-group type: P4/mbm, No. 127. For the spin magnetization, the calculation gives 0.00 μB/atom. As for the energy relative to the elements, uncorrected: -272 kJ/mol of formula units. The value obtained for the excess energy over the best structure of this formula in the dataset is 0.79 eV per formula unit. Its volume is 14.50 A^3/atom. For the density of states at the Fermi level, the calculation gives 1.888 states/eV/cell.

---

# 6
Sr2GaPtW | PBE | optimized geometry

Lattice parameters (Å, degrees): 5.940 5.940 4.590 90.00 90.00 90.00
Positions (direct):
Sr 0.000 0.500 0.000
Sr 0.500 0.000 0.000
Ga 0.000 0.000 0.000
Pt 0.000 0.000 0.500
W 0.500 0.500 0.500

Summary:
The calculated total energy is -4.199 eV per atom. As for the space-group type: P4/mmm, No. 123. For the spin magnetization, the calculation gives 0.84 μB/atom. Its volume is 32.40 A^3/atom. For the density of states at the Fermi level, the calculation gives 4.433 states/eV/cell.